No. 1
Entry from the Alexandria database: a relaxed LiCdRu crystal (PBE).

Geometry as POSCAR:
```
LiCdRu
1.0
2.4748 -4.5103 0.0000
2.4748 4.5103 0.0000
-1.2465 0.0000 4.3500
Li Cd Ru
2 2 2
Direct
0.0000 0.0000 0.0000 Li
0.6702 0.3298 0.0000 Li
0.1580 0.8420 0.5000 Cd
0.8238 0.1762 0.5000 Cd
0.3748 0.6252 0.0000 Ru
0.4832 0.5168 0.5000 Ru
```

Computed properties:
Energy of formation: 124 meV/atom
Size of the total moment: 0.00 μB per cell
Excess energy over the best structure of this formula in the dataset: 79.5 meV per atom
D(E_F): 3.29 states/eV per cell

=====

No. 2
Entry from the Alexandria database: a relaxed Li2CdRu crystal (PBE).

Geometry as POSCAR:
```
Li2CdRu
1.0
2.6121 0.0000 0.0000
0.0000 4.4615 0.0000
-1.2973 0.0000 5.3217
Li Cd Ru
2 1 1
Direct
0.0000 0.0000 0.0000 Li
0.1510 0.5000 0.2501 Li
0.3792 0.5000 0.7407 Cd
0.7513 0.0000 0.4757 Ru
```

Computed properties:
Energy of formation: 111 meV/atom
Size of the total moment: 0.00 μB per cell
D(E_F): 2.27 states/eV per cell

=====

No. 3
Entry from the Alexandria database: a relaxed LiCd2Ru crystal (PBE).

Geometry as POSCAR:
```
LiCd2Ru
1.0
3.1266 0.0000 0.0000
0.0000 3.1266 0.0000
0.0000 0.0000 6.9628
Li Cd Ru
1 2 1
Direct
0.0000 0.0000 0.0000 Li
0.0000 0.0000 0.4543 Cd
0.5000 0.5000 0.7698 Cd
0.5000 0.5000 0.1990 Ru
```

Computed properties:
Energy of formation: 224 meV/atom
Size of the total moment: 1.08 μB per cell
D(E_F): 2.32 states/eV per cell